Here is an optimized crystal structure of Cs4CdIn3Hg12 from the Alexandria database. Energies are from PBE-GGA.

Unit cell a=11.6032 b=11.6032 c=11.6032 alpha=90.00 beta=90.00 gamma=90.00
Closest atoms and distances in Å follow each position.
Space group Im-3m (No. 229)
Unique sites:
1 Cs 0.2500 0.2500 0.2500 (multiplicity 8)  12 Hg 4.10
2 Cd 0.0000 0.0000 0.0000 (multiplicity 2)  6 Hg 2.88
3 In 0.0000 0.0000 0.5000 (multiplicity 6)  6 Hg 2.90-2.92
4 Hg 0.0000 0.0000 0.2479 (multiplicity 12)  1 Cd 2.88, 1 In 2.92
5 Hg 0.0000 0.2500 0.5000 (multiplicity 12)  2 In 2.90

Total energy in eV per atom: -0.936
D(E_F) in states/eV per cell: 17.500
E_form in meV/atom: -128
Crystal system: cubic

Here is an optimized crystal structure of Cs2KCd4Hg3 from the Alexandria database. Energies are from PBE-GGA.

Unit cell a=5.1948 b=5.1948 c=13.9018 alpha=90.00 beta=90.00 gamma=90.00
Closest atoms and distances in Å follow each position.
Space group P-4m2 (No. 115)
Unique sites:
1 Cs 0.0000 0.5000 0.2238 (multiplicity 2)  4 Hg 3.98, 8 Cd 3.98-4.05
2 K 0.0000 0.0000 0.5000 (multiplicity 1)  4 Cd 3.48, 4 Hg 3.67
3 Cd 0.0000 0.0000 0.0000 (multiplicity 1)  4 Hg 3.05
4 Cd 0.0000 0.5000 0.6669 (multiplicity 2)  1 Hg 3.04
5 Cd 0.5000 0.5000 0.0000 (multiplicity 1)  4 Hg 3.05
6 Hg 0.0000 0.5000 0.8855 (multiplicity 2)  5 Cd 3.04-3.05
7 Hg 0.5000 0.5000 0.5000 (multiplicity 1)  4 Cd 3.48, 4 K 3.67

Total energy in eV per atom: -0.844
D(E_F) in states/eV per cell: 5.541
E_form in meV/atom: -107
Crystal system: tetragonal